[1]
First-principles (PBE-GGA) data for a relaxed structure of PrTl2Ir, as listed in Alexandria.

Unit cell a=4.2460 b=8.8109 c=5.6732 alpha=90.00 beta=111.61 gamma=90.00
With the nearest neighbours (Å) after each atom.
Sites, in units of the cell vectors:
Pr1 0.0726 0.2500 0.1410  3 Ir 3.00-3.16
Pr2 0.9274 0.7500 0.8590  3 Ir 3.00-3.16
Tl1 0.3549 0.0497 0.7138  3 Ir 2.90-2.96, 3 Tl 3.14-3.22
Tl2 0.3549 0.4503 0.7138  3 Ir 2.90-2.96, 3 Tl 3.14-3.22
Tl3 0.6451 0.5497 0.2862  3 Ir 2.90-2.96, 3 Tl 3.14-3.22
Tl4 0.6451 0.9503 0.2862  3 Ir 2.90-2.96, 3 Tl 3.14-3.22
Ir1 0.2304 0.7500 0.4581  6 Tl 2.90-2.96, 3 Pr 3.00-3.16
Ir2 0.7696 0.2500 0.5419  6 Tl 2.90-2.96, 3 Pr 3.00-3.16

Calculated values
Space-group type ... P2_1/m (11)
Formation enthalpy at 0 K ... -0.9 eV per formula unit
Magnetization ... 0.0000 μB/atom



[2]
First-principles (PBE-GGA) data for a relaxed structure of TmNbAl, as listed in Alexandria.

Unit cell a=7.0562 b=7.0562 c=4.5647 alpha=90.00 beta=90.00 gamma=120.00
With the nearest neighbours (Å) after each atom.
Sites, in units of the cell vectors:
Tm1 0.0000 0.4255 0.0000  5 Al 3.00-3.10
Tm2 0.4255 0.0000 0.0000  5 Al 3.00-3.10
Tm3 0.5745 0.5745 0.0000  5 Al 3.00-3.10
Nb1 0.0000 0.7811 0.5000  2 Nb 2.68, 4 Al 2.76-2.84
Nb2 0.2189 0.2189 0.5000  2 Nb 2.68, 4 Al 2.76-2.84
Nb3 0.7811 0.0000 0.5000  2 Nb 2.68, 4 Al 2.76-2.84
Al1 0.0000 0.0000 0.0000  6 Nb 2.76, 3 Tm 3.00
Al2 0.3333 0.6667 0.5000  3 Nb 2.84, 6 Tm 3.10
Al3 0.6667 0.3333 0.5000  3 Nb 2.84, 6 Tm 3.10

Calculated values
Space-group type ... P-62m (189)
Formation enthalpy at 0 K ... -0.5 eV per formula unit
Excess energy over the best structure of this formula in the dataset ... 0.000 eV/f.u.
Magnetization ... 0.0000 μB/atom



[3]
First-principles (PBE-GGA) data for a relaxed structure of TbDy2TmP4, as listed in Alexandria.

Unit cell a=6.9231 b=3.9990 c=6.9234 alpha=90.00 beta=109.47 gamma=90.00
With the nearest neighbours (Å) after each atom.
Sites, in units of the cell vectors:
Tb1 0.0000 0.0000 0.0000  6 P 2.83
Dy1 0.0000 0.5000 0.5000  6 P 2.84
Dy2 0.5000 0.0000 0.5000  6 P 2.82
Tm1 0.5000 0.5000 0.0000  6 P 2.81
P1 0.2521 0.5000 0.2497  1 Tm 2.81, 3 Dy 2.82-2.84, 2 Tb 2.83
P2 0.2529 0.0000 0.7521  2 Tm 2.81, 3 Dy 2.82-2.84, 1 Tb 2.83
P3 0.7471 0.0000 0.2479  2 Tm 2.81, 3 Dy 2.82-2.84, 1 Tb 2.83
P4 0.7479 0.5000 0.7503  1 Tm 2.81, 3 Dy 2.82-2.84, 2 Tb 2.83

Calculated values
Space-group type ... P2/m (10)
Formation enthalpy at 0 K ... -12.9 eV per formula unit
Magnetization ... 0.0000 μB/atom



[4]
First-principles (PBE-GGA) data for a relaxed structure of TaFeSb2, as listed in Alexandria.

Unit cell a=4.8370 b=4.8370 c=5.7710 alpha=107.21 beta=107.21 gamma=36.70
With the nearest neighbours (Å) after each atom.
Sites, in units of the cell vectors:
Ta1 0.0000 0.0000 0.0000  6 Sb 2.91-2.92, 2 Ta 3.05
Fe1 0.5000 0.5000 0.5000  4 Sb 2.61
Sb1 0.2279 0.2279 0.7418  2 Fe 2.61, 3 Ta 2.91-2.92
Sb2 0.7721 0.7721 0.2582  2 Fe 2.61, 3 Ta 2.91-2.92

Calculated values
Formation energy from raw total energies ... 39.5 kJ/mol of atoms
Space-group type ... C2/m (12)
Excess energy over the best structure of this formula in the dataset ... 1.516 eV/f.u.
Magnetization ... 0.4035 μB/atom



[5]
First-principles (PBE-GGA) data for a relaxed structure of BaLu3Rh, as listed in Alexandria.

Unit cell a=5.4338 b=5.4338 c=5.4338 alpha=90.00 beta=90.00 gamma=90.00
With the nearest neighbours (Å) after each atom.
Sites, in units of the cell vectors:
Ba1 0.0000 0.0000 0.0000  12 Lu 3.84
Lu1 0.0000 0.5000 0.5000  2 Rh 2.72
Lu2 0.5000 0.0000 0.5000  2 Rh 2.72
Lu3 0.5000 0.5000 0.0000  2 Rh 2.72
Rh1 0.5000 0.5000 0.5000  6 Lu 2.72

Calculated values
Space-group type ... Pm-3m (221)
Formation enthalpy at 0 K ... -1.6 eV per formula unit
Magnetization ... 0.0001 μB/atom



[6]
First-principles (PBE-GGA) data for a relaxed structure of CuHgAs2, as listed in Alexandria.

Unit cell a=8.4312 b=8.4312 c=8.4312 alpha=146.84 beta=146.84 gamma=47.60
With the nearest neighbours (Å) after each atom.
Sites, in units of the cell vectors:
Cu1 0.0000 0.0000 0.0000  4 As 2.40
Cu2 0.7500 0.2500 0.5000  4 As 2.40
Hg1 0.2500 0.7500 0.5000  4 As 2.79
Hg2 0.5000 0.5000 0.0000  4 As 2.79
As1 0.0375 0.6250 0.9125  2 Cu 2.40
As2 0.3750 0.2875 0.4125  2 Cu 2.40
As3 0.7125 0.1250 0.0875  2 Cu 2.40
As4 0.8750 0.9625 0.5875  2 Cu 2.40

Calculated values
Space-group type ... I-42d (122)
Formation enthalpy at 0 K ... 0.9 eV per formula unit
Magnetization ... 0.0000 μB/atom



[7]
First-principles (PBE-GGA) data for a relaxed structure of Ti2ZnSi2, as listed in Alexandria.

Unit cell a=6.8883 b=6.8883 c=3.3937 alpha=90.00 beta=90.00 gamma=90.00
With the nearest neighbours (Å) after each atom.
Sites, in units of the cell vectors:
Ti1 0.1733 0.3267 0.0000  2 Zn 2.55, 6 Si 2.61-2.68
Ti2 0.3267 0.8267 0.0000  2 Zn 2.55, 6 Si 2.61-2.68
Ti3 0.6733 0.1733 0.0000  2 Zn 2.55, 6 Si 2.61-2.68
Ti4 0.8267 0.6733 0.0000  2 Zn 2.55, 6 Si 2.61-2.68
Zn1 0.0000 0.0000 0.0000  4 Ti 2.55
Zn2 0.5000 0.5000 0.0000  4 Ti 2.55
Si1 0.1232 0.6232 0.5000  1 Si 2.40, 6 Ti 2.61-2.68
Si2 0.3768 0.1232 0.5000  1 Si 2.40, 6 Ti 2.61-2.68
Si3 0.6232 0.8768 0.5000  1 Si 2.40, 6 Ti 2.61-2.68
Si4 0.8768 0.3768 0.5000  1 Si 2.40, 6 Ti 2.61-2.68

Calculated values
Formation energy from raw total energies ... -23.1 kJ/mol of atoms
Space-group type ... P4/mbm (127)
Excess energy over the best structure of this formula in the dataset ... 1.239 eV/f.u.
Magnetization ... 0.0000 μB/atom



[8]
First-principles (PBE-GGA) data for a relaxed structure of BaGaPb3, as listed in Alexandria.

Unit cell a=5.6287 b=5.6287 c=5.6287 alpha=90.00 beta=90.00 gamma=90.00
With the nearest neighbours (Å) after each atom.
Sites, in units of the cell vectors:
Ba1 0.0000 0.0000 0.0000  12 Pb 3.98
Ga1 0.5000 0.5000 0.5000  6 Pb 2.81
Pb1 0.0000 0.5000 0.5000  2 Ga 2.81
Pb2 0.5000 0.0000 0.5000  2 Ga 2.81
Pb3 0.5000 0.5000 0.0000  2 Ga 2.81

Calculated values
Space-group type ... Pm-3m (221)
Formation enthalpy at 0 K ... -0.4 eV per formula unit
Excess energy over the best structure of this formula in the dataset ... 0.795 eV/f.u.
Magnetization ... 0.0000 μB/atom



[9]
First-principles (PBE-GGA) data for a relaxed structure of LaTaIr4, as listed in Alexandria.

Unit cell a=5.3267 b=5.3267 c=5.3267 alpha=60.00 beta=60.00 gamma=60.00
With the nearest neighbours (Å) after each atom.
Sites, in units of the cell vectors:
La1 0.0000 0.0000 0.0000  12 Ir 3.12, 4 Ta 3.26
Ta1 0.7500 0.7500 0.7500  12 Ir 3.12, 4 La 3.26
Ir1 0.3751 0.3751 0.3751  6 Ir 2.66
Ir2 0.3751 0.3751 0.8748  6 Ir 2.66
Ir3 0.3751 0.8748 0.3751  6 Ir 2.66
Ir4 0.8748 0.3751 0.3751  6 Ir 2.66

Calculated values
Space-group type ... F-43m (216)
Formation enthalpy at 0 K ... -1.6 eV per formula unit
Magnetization ... 0.0000 μB/atom



[10]
First-principles (PBE-GGA) data for a relaxed structure of Na3NiRh, as listed in Alexandria.

Unit cell a=5.0956 b=5.0956 c=5.0956 alpha=90.00 beta=90.00 gamma=90.00
With the nearest neighbours (Å) after each atom.
Sites, in units of the cell vectors:
Na1 0.0000 0.0000 0.5000  2 Ni 2.55
Na2 0.0000 0.5000 0.0000  2 Ni 2.55
Na3 0.5000 0.0000 0.0000  2 Ni 2.55
Ni1 0.0000 0.0000 0.0000  6 Na 2.55
Rh1 0.5000 0.5000 0.5000  12 Na 3.60

Calculated values
Space-group type ... Pm-3m (221)
Formation enthalpy at 0 K ... 5.3 eV per formula unit
Excess energy over the best structure of this formula in the dataset ... 0.000 eV/f.u.
Magnetization ... 0.3142 μB/atom



[11]
First-principles (PBE-GGA) data for a relaxed structure of PmB2Ru, as listed in Alexandria.

Unit cell a=3.2082 b=5.5487 c=6.4691 alpha=90.00 beta=104.31 gamma=90.00
With the nearest neighbours (Å) after each atom.
Sites, in units of the cell vectors:
Pm1 0.0802 0.2500 0.1594  6 B 2.77-2.90
Pm2 0.9198 0.7500 0.8406  6 B 2.77-2.90
B1 0.2549 0.5904 0.5100  3 B 1.77-1.90
B2 0.2549 0.9096 0.5100  3 B 1.77-1.90
B3 0.7451 0.0904 0.4900  3 B 1.77-1.90
B4 0.7451 0.4096 0.4900  3 B 1.77-1.90
Ru1 0.3427 0.2500 0.6859  6 B 2.19-2.21
Ru2 0.6573 0.7500 0.3141  6 B 2.19-2.21

Calculated values
Space-group type ... P2_1/m (11)
Formation enthalpy at 0 K ... -1.8 eV per formula unit
Excess energy over the best structure of this formula in the dataset ... 0.107 eV/f.u.
Magnetization ... 0.0000 μB/atom



[12]
First-principles (PBE-GGA) data for a relaxed structure of ZrSnPO2, as listed in Alexandria.

Unit cell a=4.0751 b=4.0751 c=5.5401 alpha=90.00 beta=90.00 gamma=90.00
With the nearest neighbours (Å) after each atom.
Sites, in units of the cell vectors:
Zr1 0.0000 0.0000 0.0000  4 O 2.04
Sn1 0.5000 0.5000 0.5000  4 P 2.88
P1 0.0000 0.0000 0.5000  2 Zr 2.77, 4 Sn 2.88
O1 0.0000 0.5000 0.0000  2 Zr 2.04
O2 0.5000 0.0000 0.0000  2 Zr 2.04

Calculated values
Formation energy from raw total energies ... -143.6 kJ/mol of atoms
Space-group type ... P4/mmm (123)
Excess energy over the best structure of this formula in the dataset ... 0.000 eV/f.u.
Magnetization ... 0.0000 μB/atom